# 1
A plane-wave DFT calculation with PBE was carried out for a relaxed structure of Mg4AsPd7.

## Properties
DFT total energy: -4.3952 eV per atom
ΔH_f (0 K): -447 meV/atom
Calculated density: 7.32 g/cm³

Unit cell a=9.887 b=4.760 c=9.569 alpha=90.00 beta=112.48 gamma=90.00
Space group C2/m (No. 12)
One atom of each set of equivalent atoms:
Mg (0.101, 0.000, 0.275) [4 per cell]
Mg (0.162, 0.500, 0.121) [4 per cell]
As (0.000, 0.500, 0.500) [2 per cell]
Pd (0.000, 0.000, 0.500) [2 per cell]
Pd (0.096, 0.500, 0.786) [4 per cell]
Pd (0.131, 0.000, 0.986) [4 per cell]
Pd (0.204, 0.500, 0.415) [4 per cell]

# 2
A plane-wave DFT calculation with PBE was carried out for a relaxed structure of SnHg2Pd.

## Properties
DFT total energy: -2.4065 eV per atom
ΔH_f (0 K): 43 meV/atom
Calculated density: 11.02 g/cm³

Unit cell a=8.184 b=8.184 c=5.634 alpha=90.00 beta=90.00 gamma=90.00
Space group I-42d (No. 122)
One atom of each set of equivalent atoms:
Sn (0.000, 0.000, 0.000) [4 per cell]
Hg (0.219, 0.250, 0.625) [8 per cell]
Pd (0.000, 0.000, 0.500) [4 per cell]